NiWAu: relaxed, GGA-PBE.

Its size of the total moment is 0.000 μB/atom. Its relative energy among the computed polymorphs is 0.0 meV/atom. Its formation energy is 0.15 eV/f.u.

The space group is P4/nmm (No. 129, origin choice 2) and the conventional cell measures 2.760, 2.760 and 11.875 Å, with angles of 90.00, 90.00 and 90.00 degrees. The distinct sites, in fractional coordinates, are Ni at (0.250, 0.250, 0.238), W at (0.250, 0.250, 0.907) and Au at (0.250, 0.250, 0.599).